Entry 1:
Density functional theory data (PBE-GGA) for Dy8ZnTe4Se3 after structural relaxation.

Its total DFT energy (no corrections) is -248.89 eV for the cell shown.

abc: 8.3891 8.3891 21.1214
angles: 90.00 90.00 120.00
Space group R-3m (No. 166, hexagonal axes)
Asymmetric unit:
Dy 0.0000 0.0000 0.2395 x6
Dy 0.0084 0.5042 0.2403 x18
Zn 0.0000 0.0000 0.5000 x3
Te 0.0000 0.0000 0.0000 x3
Te 0.0000 0.5000 0.0000 x9
Se 0.0000 0.5000 0.5000 x9

***

Entry 2:
Density functional theory data (PBE-GGA) for Dy8ZnTe3Se3 after structural relaxation.

Its total DFT energy (no corrections) is -228.02 eV for the cell shown.

abc: 8.3135 8.3135 21.0604
angles: 90.00 90.00 120.00
Space group R-3m (No. 166, hexagonal axes)
Asymmetric unit:
Dy 0.0000 0.0000 0.2398 x6
Dy 0.0031 0.5016 0.2409 x18
Zn 0.0000 0.0000 0.5000 x3
Te 0.0000 0.5000 0.0000 x9
Se 0.0000 0.5000 0.5000 x9

***

Entry 3:
Density functional theory data (PBE-GGA) for DyTh2Se4 after structural relaxation.

As for the excess energy over the best structure of this formula in the dataset: 0.09 eV per formula unit.

abc: 3.948 13.531 14.523
angles: 90.00 90.00 90.00
Space group Cmcm (No. 63)
Asymmetric unit:
Dy 0.000 0.114 0.250 x4
Th 0.000 0.355 0.065 x8
Se 0.000 0.000 0.000 x4
Se 0.000 0.293 0.632 x8
Se 0.000 0.456 0.250 x4

***

Entry 4:
Density functional theory data (PBE-GGA) for Dy4ThSe5 after structural relaxation.

Its total DFT energy (no corrections) is -120.34 eV for the cell shown.

abc: 4.073 5.817 20.650
angles: 90.00 90.00 90.00
Space group Immm (No. 71)
Asymmetric unit:
Dy 0.000 0.000 0.097 x4
Dy 0.000 0.000 0.299 x4
Th 0.000 0.000 0.500 x2
Se 0.000 0.500 0.106 x4
Se 0.000 0.500 0.301 x4
Se 0.000 0.500 0.500 x2

***

Entry 5:
Density functional theory data (PBE-GGA) for Dy3ThSe6 after structural relaxation.

Its total DFT energy (no corrections) is -121.00 eV for the cell shown.

abc: 11.591 4.094 11.900
angles: 90.00 108.50 90.00
Space group P2_1/m (No. 11)
Asymmetric unit:
Dy 0.068 0.250 0.165 x2
Dy 0.179 0.750 0.500 x2
Dy 0.341 0.250 0.919 x2
Th 0.453 0.250 0.303 x2
Se 0.018 0.250 0.383 x2
Se 0.105 0.250 0.938 x2
Se 0.243 0.750 0.275 x2
Se 0.307 0.750 0.748 x2
Se 0.384 0.250 0.533 x2
Se 0.417 0.750 0.097 x2

***

Entry 6:
Density functional theory data (PBE-GGA) for DyTh2Se3 after structural relaxation.

As for the excess energy over the best structure of this formula in the dataset: 0.02 eV per formula unit.

abc: 7.198 12.338 7.281
angles: 90.00 108.81 90.00
Space group C2/m (No. 12)
Asymmetric unit:
Dy 0.000 0.168 0.000 x4
Th 0.000 0.000 0.500 x2
Th 0.000 0.339 0.500 x4
Th 0.000 0.500 0.000 x2
Se 0.234 0.000 0.234 x4
Se 0.248 0.171 0.758 x8

***

Entry 7:
Density functional theory data (PBE-GGA) for DyTh2Se4 after structural relaxation.

As for the excess energy over the best structure of this formula in the dataset: 0.00 eV per formula unit.

abc: 8.713 8.713 9.040
angles: 90.00 90.00 90.00
Space group I-42d (No. 122)
Asymmetric unit:
Dy 0.000 0.000 0.000 x4
Th 0.113 0.750 0.625 x8
Se 0.078 0.682 0.955 x16

***

Entry 8:
Density functional theory data (PBE-GGA) for DyTh6Se8 after structural relaxation.

Its total DFT energy (no corrections) is -405.71 eV for the cell shown.

abc: 11.814 11.814 11.814
angles: 90.00 90.00 90.00
Space group Fm-3m (No. 225)
Asymmetric unit:
Dy 0.000 0.000 0.000 x4
Th 0.000 0.250 0.250 x24
Se 0.000 0.000 0.252 x24
Se 0.250 0.250 0.250 x8

***

Entry 9:
Density functional theory data (PBE-GGA) for DyTh5Se6 after structural relaxation.

Its total DFT energy (no corrections) is -162.90 eV for the cell shown.

abc: 7.267 12.539 7.232
angles: 90.00 109.41 90.00
Space group C2/m (No. 12)
Asymmetric unit:
Dy 0.000 0.000 0.000 x2
Th 0.000 0.172 0.500 x4
Th 0.000 0.334 0.000 x4
Th 0.000 0.500 0.500 x2
Se 0.240 0.000 0.750 x4
Se 0.242 0.162 0.242 x8

***

Entry 10:
Density functional theory data (PBE-GGA) for Dy6ThSe8 after structural relaxation.

Its total DFT energy (no corrections) is -357.83 eV for the cell shown.

abc: 11.509 11.509 11.509
angles: 90.00 90.00 90.00
Space group Fm-3m (No. 225)
Asymmetric unit:
Dy 0.000 0.250 0.250 x24
Th 0.000 0.000 0.000 x4
Se 0.000 0.000 0.261 x24
Se 0.250 0.250 0.250 x8